1.
An optimized crystal structure of CaZrAu2. Source: Alexandria via LeMat-Bulk, functional PBEsol. Values from VASP.

Total moment (μB/cell): 0.00
N(E_F) (states/eV/cell): 3.47
ΔH_f (0 K) (eV/atom): -0.61

Quantum ESPRESSO input file:
```
&SYSTEM
  ibrav = 0, nat = 4, ntyp = 3
/
ATOMIC_SPECIES
Ca 40.08 Ca.upf
Zr 91.22 Zr.upf
Au 196.97 Au.upf
CELL_PARAMETERS angstrom
3.337 0.000 0.000
0.000 3.496 0.000
0.000 0.000 7.228
ATOMIC_POSITIONS crystal
Ca 0.000 0.000 0.000
Zr 0.000 0.000 0.500
Au 0.500 0.500 0.283
Au 0.500 0.500 0.717
```

2.
An optimized crystal structure of ZrCoOs2. Source: Alexandria via LeMat-Bulk, functional PBEsol. Values from VASP.

Energy above the lowest structure with this stoichiometry (meV/atom): 89
Total moment (μB/cell): 1.42
N(E_F) (states/eV/cell): 5.56
ΔH_f (0 K) (eV/atom): 0.12

Quantum ESPRESSO input file:
```
&SYSTEM
  ibrav = 0, nat = 4, ntyp = 3
/
ATOMIC_SPECIES
Zr 91.22 Zr.upf
Co 58.93 Co.upf
Os 190.23 Os.upf
CELL_PARAMETERS angstrom
2.994 0.000 0.000
0.000 4.415 0.000
0.000 0.000 4.441
ATOMIC_POSITIONS crystal
Zr 0.000 0.000 0.000
Co 0.500 0.000 0.500
Os 0.000 0.500 0.500
Os 0.500 0.500 0.000
```

3.
An optimized crystal structure of SrOsAu3. Source: Alexandria via LeMat-Bulk, functional PBEsol. Values from VASP.

Energy above the lowest structure with this stoichiometry (meV/atom): 0
Total moment (μB/cell): 0.38
N(E_F) (states/eV/cell): 6.29
ΔH_f (0 K) (eV/atom): 0.39

Quantum ESPRESSO input file:
```
&SYSTEM
  ibrav = 0, nat = 5, ntyp = 3
/
ATOMIC_SPECIES
Sr 87.62 Sr.upf
Os 190.23 Os.upf
Au 196.97 Au.upf
CELL_PARAMETERS angstrom
5.002 0.000 0.000
0.000 5.002 0.000
0.000 0.000 5.002
ATOMIC_POSITIONS crystal
Sr 0.000 0.000 0.000
Os 0.500 0.500 0.500
Au 0.000 0.500 0.500
Au 0.500 0.000 0.500
Au 0.500 0.500 0.000
```

4.
An optimized crystal structure of LiVTe2WO12. Source: Alexandria via LeMat-Bulk, functional PBEsol. Values from VASP.

ΔE_f (raw) (eV/atom): -1.543
Total moment (μB/cell): 0.00

Quantum ESPRESSO input file:
```
&SYSTEM
  ibrav = 0, nat = 17, ntyp = 5
/
ATOMIC_SPECIES
Li 6.94 Li.upf
V 50.94 V.upf
Te 127.60 Te.upf
W 183.84 W.upf
O 16.00 O.upf
CELL_PARAMETERS angstrom
5.044 0.000 0.000
-0.014 5.219 0.000
-0.018 -0.415 7.270
ATOMIC_POSITIONS crystal
Li 0.000 0.000 0.000
V 0.009 0.586 0.214
Te 0.506 0.090 0.197
Te 0.997 0.596 0.702
W 0.492 0.099 0.693
O 0.111 0.609 0.948
O 0.183 0.283 0.637
O 0.189 0.903 0.244
O 0.295 0.404 0.250
O 0.308 0.789 0.637
O 0.375 0.102 0.945
O 0.614 0.105 0.449
O 0.681 0.408 0.752
O 0.712 0.798 0.133
O 0.808 0.297 0.134
O 0.811 0.917 0.756
O 0.889 0.602 0.443
```

5.
An optimized crystal structure of NbTl2B. Source: Alexandria via LeMat-Bulk, functional PBEsol. Values from VASP.

Total moment (μB/cell): 8.50
N(E_F) (states/eV/cell): 11.98
ΔH_f (0 K) (eV/atom): 1.45

Quantum ESPRESSO input file:
```
&SYSTEM
  ibrav = 0, nat = 16, ntyp = 3
/
ATOMIC_SPECIES
Nb 92.91 Nb.upf
Tl 204.38 Tl.upf
B 10.81 B.upf
CELL_PARAMETERS angstrom
6.801 0.000 0.000
0.000 6.801 0.000
0.000 0.000 6.801
ATOMIC_POSITIONS crystal
Nb 0.000 0.000 0.000
Nb 0.000 0.500 0.500
Nb 0.500 0.000 0.500
Nb 0.500 0.500 0.000
Tl 0.250 0.250 0.250
Tl 0.250 0.250 0.750
Tl 0.250 0.750 0.250
Tl 0.250 0.750 0.750
Tl 0.750 0.250 0.250
Tl 0.750 0.250 0.750
Tl 0.750 0.750 0.250
Tl 0.750 0.750 0.750
B 0.000 0.000 0.500
B 0.000 0.500 0.000
B 0.500 0.000 0.000
B 0.500 0.500 0.500
```

6.
An optimized crystal structure of HoScB8Rh8. Source: Alexandria via LeMat-Bulk, functional PBEsol. Values from VASP.

Total moment (μB/cell): 0.00
N(E_F) (states/eV/cell): 8.59
ΔH_f (0 K) (eV/atom): -0.62

Quantum ESPRESSO input file:
```
&SYSTEM
  ibrav = 0, nat = 18, ntyp = 4
/
ATOMIC_SPECIES
Ho 164.93 Ho.upf
Sc 44.96 Sc.upf
B 10.81 B.upf
Rh 102.91 Rh.upf
CELL_PARAMETERS angstrom
5.255 0.000 0.000
0.000 5.255 0.000
0.000 0.000 7.300
ATOMIC_POSITIONS crystal
Ho 0.000 0.000 0.000
Sc 0.500 0.500 0.500
B 0.000 0.329 0.648
B 0.000 0.671 0.648
B 0.170 0.500 0.148
B 0.329 0.000 0.352
B 0.500 0.170 0.852
B 0.500 0.830 0.852
B 0.671 0.000 0.352
B 0.830 0.500 0.148
Rh 0.000 0.250 0.355
Rh 0.000 0.750 0.355
Rh 0.250 0.000 0.645
Rh 0.253 0.500 0.850
Rh 0.500 0.253 0.150
Rh 0.500 0.747 0.150
Rh 0.747 0.500 0.850
Rh 0.750 0.000 0.645
```

7.
An optimized crystal structure of Rb2NaTiS. Source: Alexandria via LeMat-Bulk, functional PBEsol. Values from VASP.

ΔE_f (raw) (eV/atom): 0.306
Energy above the lowest structure with this stoichiometry (meV/atom): 265
Total moment (μB/cell): 2.99
N(E_F) (states/eV/cell): 9.10

Quantum ESPRESSO input file:
```
&SYSTEM
  ibrav = 0, nat = 5, ntyp = 4
/
ATOMIC_SPECIES
Rb 85.47 Rb.upf
Na 22.99 Na.upf
Ti 47.87 Ti.upf
S 32.06 S.upf
CELL_PARAMETERS angstrom
6.448 0.000 0.000
0.000 6.448 0.000
0.000 0.000 5.207
ATOMIC_POSITIONS crystal
Rb 0.000 0.500 0.000
Rb 0.500 0.000 0.000
Na 0.000 0.000 0.500
Ti 0.500 0.500 0.500
S 0.000 0.000 0.000
```

8.
An optimized crystal structure of Li4TaTe. Source: Alexandria via LeMat-Bulk, functional PBEsol. Values from VASP.

ΔE_f (raw) (eV/atom): 0.351
Total moment (μB/cell): 2.87
N(E_F) (states/eV/cell): 4.32

Quantum ESPRESSO input file:
```
&SYSTEM
  ibrav = 0, nat = 6, ntyp = 3
/
ATOMIC_SPECIES
Li 6.94 Li.upf
Ta 180.95 Ta.upf
Te 127.60 Te.upf
CELL_PARAMETERS angstrom
0.000 3.649 3.649
3.649 0.000 3.649
3.649 3.649 0.000
ATOMIC_POSITIONS crystal
Li 0.377 0.377 0.377
Li 0.377 0.377 0.868
Li 0.377 0.868 0.377
Li 0.868 0.377 0.377
Ta 0.750 0.750 0.750
Te 0.000 0.000 0.000
```

9.
An optimized crystal structure of SrMgTc2. Source: Alexandria via LeMat-Bulk, functional PBEsol. Values from VASP.

Total moment (μB/cell): 0.00
N(E_F) (states/eV/cell): 4.14
ΔH_f (0 K) (eV/atom): 0.66

Quantum ESPRESSO input file:
```
&SYSTEM
  ibrav = 0, nat = 4, ntyp = 3
/
ATOMIC_SPECIES
Sr 87.62 Sr.upf
Mg 24.30 Mg.upf
Tc 98.00 Tc.upf
CELL_PARAMETERS angstrom
3.520 0.000 0.000
0.000 3.520 0.000
0.000 0.000 6.743
ATOMIC_POSITIONS crystal
Sr 0.000 0.000 0.000
Mg 0.000 0.000 0.500
Tc 0.500 0.500 0.338
Tc 0.500 0.500 0.662
```

10.
An optimized crystal structure of CsSiSe2N. Source: Alexandria via LeMat-Bulk, functional PBEsol. Values from VASP.

ΔE_f (raw) (eV/atom): -0.070
Total moment (μB/cell): 0.00
N(E_F) (states/eV/cell): 3.10

Quantum ESPRESSO input file:
```
&SYSTEM
  ibrav = 0, nat = 5, ntyp = 4
/
ATOMIC_SPECIES
Cs 132.91 Cs.upf
Si 28.09 Si.upf
Se 78.96 Se.upf
N 14.01 N.upf
CELL_PARAMETERS angstrom
5.836 0.000 0.000
0.000 5.836 0.000
0.000 0.000 3.252
ATOMIC_POSITIONS crystal
Cs 0.000 0.000 0.000
Si 0.500 0.500 0.500
Se 0.000 0.500 0.500
Se 0.500 0.000 0.500
N 0.500 0.500 0.000
```

11.
An optimized crystal structure of Al2AsC. Source: Alexandria via LeMat-Bulk, functional PBEsol. Values from VASP.

Total moment (μB/cell): 0.00
N(E_F) (states/eV/cell): 8.25
ΔH_f (0 K) (eV/atom): 0.04

Quantum ESPRESSO input file:
```
&SYSTEM
  ibrav = 0, nat = 16, ntyp = 3
/
ATOMIC_SPECIES
Al 26.98 Al.upf
As 74.92 As.upf
C 12.01 C.upf
CELL_PARAMETERS angstrom
5.264 0.000 0.000
0.000 5.264 0.000
0.000 0.000 9.547
ATOMIC_POSITIONS crystal
Al 0.161 0.250 0.125
Al 0.250 0.661 0.375
Al 0.250 0.839 0.875
Al 0.339 0.250 0.625
Al 0.661 0.750 0.625
Al 0.750 0.161 0.875
Al 0.750 0.339 0.375
Al 0.839 0.750 0.125
As 0.000 0.000 0.500
As 0.000 0.500 0.750
As 0.500 0.000 0.250
As 0.500 0.500 0.000
C 0.000 0.000 0.000
C 0.000 0.500 0.250
C 0.500 0.000 0.750
C 0.500 0.500 0.500
```

12.
An optimized crystal structure of NiBiPO5. Source: Alexandria via LeMat-Bulk, functional PBEsol. Values from VASP.

ΔE_f (raw) (eV/atom): -1.583
Total moment (μB/cell): 8.09

Quantum ESPRESSO input file:
```
&SYSTEM
  ibrav = 0, nat = 32, ntyp = 4
/
ATOMIC_SPECIES
Ni 58.69 Ni.upf
Bi 208.98 Bi.upf
P 30.97 P.upf
O 16.00 O.upf
CELL_PARAMETERS angstrom
5.120 0.000 0.000
0.000 11.155 0.000
-3.056 0.000 6.852
ATOMIC_POSITIONS crystal
Ni 0.053 0.077 0.183
Ni 0.053 0.423 0.683
Ni 0.947 0.577 0.317
Ni 0.947 0.923 0.817
Bi 0.414 0.103 0.806
Bi 0.414 0.397 0.306
Bi 0.586 0.603 0.694
Bi 0.586 0.897 0.194
P 0.305 0.653 0.023
P 0.305 0.847 0.523
P 0.695 0.153 0.477
P 0.695 0.347 0.977
O 0.176 0.719 0.487
O 0.176 0.781 0.987
O 0.206 0.582 0.160
O 0.206 0.918 0.660
O 0.220 0.583 0.828
O 0.220 0.917 0.328
O 0.258 0.026 0.018
O 0.258 0.474 0.518
O 0.365 0.173 0.386
O 0.365 0.327 0.886
O 0.635 0.673 0.114
O 0.635 0.827 0.614
O 0.742 0.526 0.482
O 0.742 0.974 0.982
O 0.780 0.083 0.672
O 0.780 0.417 0.172
O 0.794 0.082 0.340
O 0.794 0.418 0.840
O 0.824 0.219 0.013
O 0.824 0.281 0.513
```

13.
An optimized crystal structure of LiMg2Au. Source: Alexandria via LeMat-Bulk, functional PBEsol. Values from VASP.

Total moment (μB/cell): 0.00
N(E_F) (states/eV/cell): 2.16
ΔH_f (0 K) (eV/atom): -0.39

Quantum ESPRESSO input file:
```
&SYSTEM
  ibrav = 0, nat = 8, ntyp = 3
/
ATOMIC_SPECIES
Li 6.94 Li.upf
Mg 24.30 Mg.upf
Au 196.97 Au.upf
CELL_PARAMETERS angstrom
3.999 0.000 0.000
0.000 3.999 0.000
0.000 0.000 8.635
ATOMIC_POSITIONS crystal
Li 0.000 0.000 0.000
Li 0.500 0.500 0.500
Mg 0.000 0.000 0.500
Mg 0.000 0.500 0.250
Mg 0.500 0.000 0.750
Mg 0.500 0.500 0.000
Au 0.000 0.500 0.750
Au 0.500 0.000 0.250
```

Short version: total DFT energy (no corrections) = -21.51, -40.77, -23.90, -121.68, -69.18, -143.98, -14.63, -21.84, -23.46, -23.27, -91.05, -220.59, -21.78 eV per cell, in the order given.